The following is a DFT calculation (PBE) of a relaxed structure of NpTeBr.

Lattice parameters (Å, degrees): 12.0444 12.0444 12.0444 159.91 159.91 28.55
With the nearest neighbours (Å) after each atom.
Atoms (fractional coordinates):
Np 0.1565 0.1565 0.0000  2 Br 2.94, 4 Te 3.15
Np 0.8435 0.8435 0.0000  2 Br 2.94, 4 Te 3.15
Te 0.2990 0.2990 0.0000  5 Np 3.15-3.33
Te 0.7010 0.7010 0.0000  5 Np 3.15-3.33
Br 0.5685 0.0685 0.5000  2 Np 2.94
Br 0.9315 0.4315 0.5000  2 Np 2.94

Calculated values
Magnetic moment = 8.0 μB per cell
E = -6.821 eV per atom
Formation energy without anion corrections = -261 kJ/mol of formula units
Density of states at the Fermi level = 17.24 states/eV/cell